(1)
{"formula": "LaAlW2", "functional": "PBEsol", "state": "relaxed", "cell": [[-1.8260, -3.6986, -0.8527], [-0.7793, -0.5608, 4.1011], [-2.3598, 4.0381, -2.0592]], "species": ["W", "W", "La", "Al"], "frac_coords": [[0.7500, 0.2500, 0.5000], [0.2500, 0.7500, 0.5000], [0.5000, 0.5000, 0.0000], [0.0000, 0.0000, 0.0000]], "e_form_kj_per_mol_atoms": 77.7}

(2)
{"formula": "LaAlW", "functional": "PBEsol", "state": "relaxed", "cell": [[2.8715, 0.0000, 0.0000], [0.0000, 2.8715, 0.0000], [-1.4358, -1.4358, 7.2203]], "species": ["La", "Al", "W"], "frac_coords": [[0.6681, 0.6681, 0.3361], [0.9819, 0.9819, 0.9638], [0.3501, 0.3501, 0.7001]], "e_form_kj_per_mol_atoms": 31.4, "e_above_lowest_polymorph_kj_per_mol_atoms": 0.0}

(3)
{"formula": "LaY2Al", "functional": "PBEsol", "state": "relaxed", "cell": [[-3.6903, 0.0499, 0.6594], [0.7847, -2.3969, 4.5727], [1.9842, 6.2841, -0.0285]], "species": ["Al", "La", "Y", "Y"], "frac_coords": [[0.4921, 0.9921, 0.9842], [0.2172, 0.2172, 0.4345], [0.7864, 0.7864, 0.5729], [0.0042, 0.5042, 0.0085]], "e_form_kj_per_mol_atoms": -15.1}

(4)
{"formula": "LaYAl2", "functional": "PBEsol", "state": "relaxed", "cell": [[-4.1229, 2.8788, -0.8284], [-3.3673, -1.3424, -3.5820], [-4.6102, -1.7040, 1.3471]], "species": ["Al", "Al", "Y", "La"], "frac_coords": [[0.7500, 0.7500, 0.7500], [0.0000, 0.0000, 0.0000], [0.2500, 0.2500, 0.2500], [0.5000, 0.5000, 0.5000]], "e_form_kj_per_mol_atoms": 4.8}

(5)
{"formula": "LaY2Al", "functional": "PBEsol", "state": "relaxed", "cell": [[-2.9842, -0.1165, 1.8566], [-1.8156, -0.5816, -2.9549], [1.0305, -8.8198, 1.1028]], "species": ["Al", "La", "Y", "Y"], "frac_coords": [[0.5000, 0.5000, 0.0000], [0.5000, 0.5000, 0.5000], [0.0000, 0.0000, 0.2076], [0.0000, 0.0000, 0.7924]], "e_form_kj_per_mol_atoms": -20.1}

(6)
{"formula": "LaYAl", "functional": "PBEsol", "state": "relaxed", "cell": [[3.4606, 0.0000, 0.0000], [0.0000, 4.3968, 0.0000], [-1.7303, -2.1984, 5.2278]], "species": ["Al", "La", "Y"], "frac_coords": [[0.9901, 0.9901, 0.9802], [0.6520, 0.6520, 0.3041], [0.3579, 0.3579, 0.7157]], "e_form_kj_per_mol_atoms": -20.3, "e_above_lowest_polymorph_kj_per_mol_atoms": 0.9}

(7)
{"formula": "LaYAl", "functional": "PBEsol", "state": "relaxed", "cell": [[3.5663, 0.0000, 0.0000], [-1.7832, 3.0885, 0.0000], [0.0000, 0.0000, 7.8202]], "species": ["Al", "Y", "La"], "frac_coords": [[0.0000, 0.0000, 0.0069], [0.6667, 0.3333, 0.2925], [0.3333, 0.6667, 0.7006]], "e_form_kj_per_mol_atoms": -2.6, "e_above_lowest_polymorph_kj_per_mol_atoms": 18.7}

(8)
{"formula": "LaYAl2", "functional": "PBEsol", "state": "relaxed", "cell": [[-3.1240, 1.8656, -0.3125], [-1.8860, -3.0256, 0.7913], [0.2919, 1.6837, 7.1339]], "species": ["Y", "La", "Al", "Al"], "frac_coords": [[0.5000, 0.5000, 0.5000], [0.5000, 0.5000, 0.0000], [0.0000, 0.0000, 0.7276], [0.0000, 0.0000, 0.2724]], "e_form_kj_per_mol_atoms": -37.6}

(9)
{"formula": "LaYAl", "functional": "PBEsol", "state": "relaxed", "cell": [[3.4543, 0.0000, 0.0000], [0.0000, 3.4543, 0.0000], [-1.7271, -1.7271, 6.9214]], "species": ["Y", "La", "Al"], "frac_coords": [[0.3570, 0.3570, 0.7140], [0.6491, 0.6491, 0.2981], [0.9939, 0.9939, 0.9879]], "e_form_kj_per_mol_atoms": -21.2, "e_above_lowest_polymorph_kj_per_mol_atoms": 0.0}

(10)
{"formula": "La2YAl2", "functional": "PBEsol", "state": "relaxed", "cell": [[-1.5462, -3.1331, -3.0739], [6.3929, 1.1985, -4.4373], [3.7792, -5.6971, 3.9059]], "species": ["La", "La", "La", "La", "Al", "Al", "Al", "Al", "Y", "Y"], "frac_coords": [[0.5000, 0.8267, 0.3267], [0.5000, 0.1733, 0.6733], [0.5000, 0.6733, 0.8267], [0.5000, 0.3267, 0.1733], [0.0000, 0.3804, 0.8804], [0.0000, 0.1196, 0.3804], [0.0000, 0.6196, 0.1196], [0.0000, 0.8804, 0.6196], [0.0000, 0.5000, 0.5000], [0.0000, 0.0000, 0.0000]], "e_form_kj_per_mol_atoms": -24.5}

(11)
{"formula": "LaY2Al", "functional": "PBEsol", "state": "relaxed", "cell": [[-2.9588, 3.3618, 1.4277], [-3.6508, -2.7762, -1.0288], [3.4161, -2.1137, 4.3192]], "species": ["Y", "Y", "Al", "La"], "frac_coords": [[0.0000, 0.0000, 0.0000], [0.7500, 0.2500, 0.5000], [0.5000, 0.5000, 0.0000], [0.2500, 0.7500, 0.5000]], "e_form_kj_per_mol_atoms": -15.9}

(12)
{"formula": "LaYAl2", "functional": "PBEsol", "state": "relaxed", "cell": [[3.9421, 0.0000, 0.0000], [0.0000, 4.8571, 0.0000], [-1.9711, -2.4286, 5.1163]], "species": ["La", "Y", "Al", "Al"], "frac_coords": [[0.4855, 0.4855, 0.9709], [0.2593, 0.7593, 0.5186], [0.0409, 0.0409, 0.0818], [0.7143, 0.2143, 0.4287]], "e_form_kj_per_mol_atoms": -33.8}

Number 1: DFT total energy -8.458 eV/atom. Number 2: DFT total energy -7.423 eV/atom. Number 3: DFT total energy -5.927 eV/atom. Number 4: DFT total energy -5.038 eV/atom. Number 5: DFT total energy -5.979 eV/atom. Number 6: DFT total energy -5.630 eV/atom. Number 7: DFT total energy -5.447 eV/atom. Number 8: DFT total energy -5.477 eV/atom. Number 9: DFT total energy -5.640 eV/atom. Number 10: DFT total energy -5.393 eV/atom. Number 11: DFT total energy -5.935 eV/atom. Number 12: DFT total energy -5.438 eV/atom.